Record 1
TbNd15In4 after structural relaxation, computed with PBE-GGA.

Calculated values
Energy, eV/atom: -4.566
Calculated formation energy, eV per atom: -0.211
Symmetry: P4/mmm

a b c (Å): 4.9919 4.9919 25.4697
angles (deg): 90.00 90.00 90.00
With the nearest neighbours (Å) after each atom.
Atoms (fractional coordinates):
1 Tb 0.0000 0.0000 0.0000  12 Nd 3.53-3.66
2 Nd 0.0000 0.5000 0.1052  8 Nd 3.53-3.66, 2 In 3.57, 2 Tb 3.66
3 Nd 0.0000 0.5000 0.3030  4 In 3.52-3.54, 8 Nd 3.53-3.54
4 Nd 0.0000 0.5000 0.5000  8 Nd 3.53-3.54, 4 In 3.54
5 Nd 0.0000 0.5000 0.6970  4 In 3.52-3.54, 8 Nd 3.53-3.54
6 Nd 0.0000 0.5000 0.8948  8 Nd 3.53-3.66, 2 In 3.57, 2 Tb 3.66
7 Nd 0.5000 0.0000 0.1052  8 Nd 3.53-3.66, 2 In 3.57, 2 Tb 3.66
8 Nd 0.5000 0.0000 0.3030  4 In 3.52-3.54, 8 Nd 3.53-3.54
9 Nd 0.5000 0.0000 0.5000  8 Nd 3.53-3.54, 4 In 3.54
10 Nd 0.5000 0.0000 0.6970  4 In 3.52-3.54, 8 Nd 3.53-3.54
11 Nd 0.5000 0.0000 0.8948  8 Nd 3.53-3.66, 2 In 3.57, 2 Tb 3.66
12 Nd 0.5000 0.5000 0.0000  4 Tb 3.53, 8 Nd 3.66
13 Nd 0.5000 0.5000 0.2045  4 In 3.53, 8 Nd 3.54-3.55
14 Nd 0.5000 0.5000 0.4014  4 In 3.53, 8 Nd 3.54
15 Nd 0.5000 0.5000 0.5986  4 In 3.53, 8 Nd 3.54
16 Nd 0.5000 0.5000 0.7955  4 In 3.53, 8 Nd 3.54-3.55
17 In 0.0000 0.0000 0.2054  12 Nd 3.52-3.57
18 In 0.0000 0.0000 0.4016  12 Nd 3.53-3.54
19 In 0.0000 0.0000 0.5984  12 Nd 3.53-3.54
20 In 0.0000 0.0000 0.7946  12 Nd 3.52-3.57

Record 2
TbNd6In6 after structural relaxation, computed with PBE-GGA.

Calculated values
Energy, eV/atom: -4.149
Calculated formation energy, eV per atom: -0.329
Symmetry: P6/mmm

a b c (Å): 6.3930 6.3930 11.1116
angles (deg): 90.00 90.00 120.00
With the nearest neighbours (Å) after each atom.
Atoms (fractional coordinates):
1 Tb 0.0000 0.0000 0.0000  8 Nd 3.69
2 Nd 0.0000 0.0000 0.3321  6 In 3.34, 1 Tb 3.69, 1 Nd 3.73
3 Nd 0.0000 0.0000 0.6679  6 In 3.34, 1 Tb 3.69, 1 Nd 3.73
4 Nd 0.3333 0.6667 0.0000  6 In 3.30, 3 Tb 3.69, 3 Nd 3.69
5 Nd 0.3333 0.6667 0.5000  6 In 3.37, 3 Nd 3.69
6 Nd 0.6667 0.3333 0.0000  6 In 3.30, 3 Tb 3.69, 3 Nd 3.69
7 Nd 0.6667 0.3333 0.5000  6 In 3.37, 3 Nd 3.69
8 In 0.0000 0.5000 0.2463  4 In 3.20, 6 Nd 3.30-3.37
9 In 0.0000 0.5000 0.7537  4 In 3.20, 6 Nd 3.30-3.37
10 In 0.5000 0.0000 0.2463  4 In 3.20, 6 Nd 3.30-3.37
11 In 0.5000 0.0000 0.7537  4 In 3.20, 6 Nd 3.30-3.37
12 In 0.5000 0.5000 0.2463  4 In 3.20, 6 Nd 3.30-3.37
13 In 0.5000 0.5000 0.7537  4 In 3.20, 6 Nd 3.30-3.37

Record 3
Tb3Nd8In after structural relaxation, computed with PBE-GGA.

Calculated values
Energy, eV/atom: -4.128
Calculated formation energy, eV per atom: 0.436
Symmetry: I-42m

a b c (Å): 8.4751 8.4751 8.4751
angles (deg): 117.90 117.90 93.68
With the nearest neighbours (Å) after each atom.
Atoms (fractional coordinates):
1 Tb 0.0000 0.0000 0.0000  8 Nd 3.05-3.28
2 Tb 0.2500 0.7500 0.5000  4 Nd 3.44
3 Tb 0.7500 0.2500 0.5000  4 Nd 3.44
4 Nd 0.1207 0.3753 0.0000  3 Nd 3.14-3.40, 3 Tb 3.28-3.44, 1 In 3.32
5 Nd 0.2291 0.7372 0.0000  1 Tb 3.05, 2 Nd 3.14-3.40, 1 In 3.15
6 Nd 0.2628 0.2628 0.4919  1 Tb 3.05, 2 Nd 3.14-3.40, 1 In 3.15
7 Nd 0.3753 0.1207 0.0000  3 Nd 3.14-3.40, 3 Tb 3.28-3.44, 1 In 3.32
8 Nd 0.6247 0.6247 0.7454  3 Nd 3.14-3.40, 3 Tb 3.28-3.44, 1 In 3.32
9 Nd 0.7372 0.2291 0.0000  1 Tb 3.05, 2 Nd 3.14-3.40, 1 In 3.15
10 Nd 0.7709 0.7709 0.5081  1 Tb 3.05, 2 Nd 3.14-3.40, 1 In 3.15
11 Nd 0.8793 0.8793 0.2546  3 Nd 3.14-3.40, 3 Tb 3.28-3.44, 1 In 3.32
12 In 0.5000 0.5000 0.0000  8 Nd 3.15-3.32

Record 4
TbNd6In4 after structural relaxation, computed with PBE-GGA.

Calculated values
Energy, eV/atom: -4.150
Calculated formation energy, eV per atom: -0.132
Symmetry: I-42m

a b c (Å): 8.2439 8.2439 8.2439
angles (deg): 122.43 122.43 85.84
With the nearest neighbours (Å) after each atom.
Atoms (fractional coordinates):
1 Tb 0.0000 0.0000 0.0000  4 In 3.89, 8 Nd 3.97-4.01
2 Nd 0.0000 0.5000 0.5000  4 In 3.08
3 Nd 0.0928 0.4708 0.0000  4 In 3.11-3.44
4 Nd 0.4708 0.0928 0.0000  4 In 3.11-3.44
5 Nd 0.5000 0.0000 0.5000  4 In 3.08
6 Nd 0.5292 0.5292 0.6220  4 In 3.11-3.44
7 Nd 0.9072 0.9072 0.3780  4 In 3.11-3.44
8 In 0.2738 0.2738 0.6788  2 In 3.00, 5 Nd 3.08-3.34
9 In 0.4050 0.7262 0.0000  2 In 3.00, 5 Nd 3.08-3.34
10 In 0.5950 0.5950 0.3212  2 In 3.00, 5 Nd 3.08-3.34
11 In 0.7262 0.4050 0.0000  2 In 3.00, 5 Nd 3.08-3.34

Record 5
Tb2Nd3In3 after structural relaxation, computed with PBE-GGA.

Calculated values
Energy, eV/atom: -4.329
Calculated formation energy, eV per atom: -0.357
Symmetry: Immm

a b c (Å): 4.4492 5.0677 21.0589
angles (deg): 90.00 90.00 90.00
With the nearest neighbours (Å) after each atom.
Atoms (fractional coordinates):
1 Tb 0.0000 0.0000 0.2370  2 In 3.20, 4 Tb 3.42, 2 Nd 3.53
2 Tb 0.0000 0.0000 0.7630  2 In 3.20, 4 Tb 3.42, 2 Nd 3.53
3 Tb 0.5000 0.5000 0.2630  2 In 3.20, 4 Tb 3.42, 2 Nd 3.53
4 Tb 0.5000 0.5000 0.7370  2 In 3.20, 4 Tb 3.42, 2 Nd 3.53
5 Nd 0.0000 0.0000 0.0000  8 In 3.37-3.49, 4 Nd 3.58
6 Nd 0.0000 0.5000 0.1203  6 In 3.37-3.38, 4 Tb 3.53-3.74, 2 Nd 3.58
7 Nd 0.0000 0.5000 0.8797  6 In 3.37-3.38, 4 Tb 3.53-3.74, 2 Nd 3.58
8 Nd 0.5000 0.0000 0.3797  6 In 3.37-3.38, 4 Tb 3.53-3.74, 2 Nd 3.58
9 Nd 0.5000 0.0000 0.6203  6 In 3.37-3.38, 4 Tb 3.53-3.74, 2 Nd 3.58
10 Nd 0.5000 0.5000 0.5000  8 In 3.37-3.49, 4 Nd 3.58
11 In 0.0000 0.0000 0.5000  8 Nd 3.37, 4 In 3.70
12 In 0.0000 0.5000 0.3722  2 Tb 3.20, 6 Nd 3.38-3.49
13 In 0.0000 0.5000 0.6278  2 Tb 3.20, 6 Nd 3.38-3.49
14 In 0.5000 0.0000 0.1278  2 Tb 3.20, 6 Nd 3.38-3.49
15 In 0.5000 0.0000 0.8722  2 Tb 3.20, 6 Nd 3.38-3.49
16 In 0.5000 0.5000 0.0000  8 Nd 3.37, 4 In 3.70

Record 6
Tb6Nd2In after structural relaxation, computed with PBE-GGA.

Calculated values
Energy relative to the lowest polymorph listed for this composition, meV/atom: 78.8
Energy, eV/atom: -4.470
Calculated formation energy, eV per atom: -0.020
Symmetry: Immm

a b c (Å): 9.6703 9.6703 9.6703
angles (deg): 159.02 115.99 68.16
With the nearest neighbours (Å) after each atom.
Atoms (fractional coordinates):
1 Tb 0.0153 0.1770 0.8383  1 In 3.28, 7 Tb 3.31-3.61, 3 Nd 3.49-3.66
2 Tb 0.2951 0.5000 0.7951  2 In 3.50, 6 Tb 3.52-3.61, 4 Nd 3.66
3 Tb 0.3387 0.1770 0.1617  1 In 3.28, 7 Tb 3.31-3.61, 3 Nd 3.49-3.66
4 Tb 0.6613 0.8230 0.8383  1 In 3.28, 7 Tb 3.31-3.61, 3 Nd 3.49-3.66
5 Tb 0.7049 0.5000 0.2049  2 In 3.50, 6 Tb 3.52-3.61, 4 Nd 3.66
6 Tb 0.9847 0.8230 0.1617  1 In 3.28, 7 Tb 3.31-3.61, 3 Nd 3.49-3.66
7 Nd 0.3486 0.8486 0.5000  10 Tb 3.49-3.66, 2 Nd 3.52
8 Nd 0.6514 0.1514 0.5000  10 Tb 3.49-3.66, 2 Nd 3.52
9 In 0.0000 0.0000 0.0000  8 Tb 3.28-3.50, 2 In 3.52

Record 7
Tb6NdIn6 after structural relaxation, computed with PBE-GGA.

Calculated values
Energy, eV/atom: -4.109
Calculated formation energy, eV per atom: -0.341
Symmetry: P6/mmm

a b c (Å): 6.2813 6.2813 10.8345
angles (deg): 90.00 90.00 120.00
With the nearest neighbours (Å) after each atom.
Atoms (fractional coordinates):
1 Tb 0.0000 0.0000 0.1617  6 In 3.30, 1 Tb 3.50, 1 Nd 3.67
2 Tb 0.0000 0.0000 0.8383  6 In 3.30, 1 Tb 3.50, 1 Nd 3.67
3 Tb 0.3333 0.6667 0.0000  6 In 3.30, 3 Tb 3.63
4 Tb 0.3333 0.6667 0.5000  6 In 3.22
5 Tb 0.6667 0.3333 0.0000  6 In 3.30, 3 Tb 3.63
6 Tb 0.6667 0.3333 0.5000  6 In 3.22
7 Nd 0.0000 0.0000 0.5000  8 Tb 3.63-3.67
8 In 0.0000 0.5000 0.2545  4 In 3.14, 6 Tb 3.22-3.30
9 In 0.0000 0.5000 0.7455  4 In 3.14, 6 Tb 3.22-3.30
10 In 0.5000 0.0000 0.2545  4 In 3.14, 6 Tb 3.22-3.30
11 In 0.5000 0.0000 0.7455  4 In 3.14, 6 Tb 3.22-3.30
12 In 0.5000 0.5000 0.2545  4 In 3.14, 6 Tb 3.22-3.30
13 In 0.5000 0.5000 0.7455  4 In 3.14, 6 Tb 3.22-3.30

Record 8
TbNdIn after structural relaxation, computed with PBE-GGA.

Calculated values
Energy relative to the lowest polymorph listed for this composition, meV/atom: 2.8
Energy, eV/atom: -4.339
Calculated formation energy, eV per atom: -0.294
Symmetry: P4/nmm

a b c (Å): 4.7407 4.7407 8.4077
angles (deg): 90.00 90.00 90.00
With the nearest neighbours (Å) after each atom.
Atoms (fractional coordinates):
1 Tb 0.2500 0.7500 0.0000  4 In 3.25, 4 Tb 3.35
2 Tb 0.7500 0.2500 0.0000  4 In 3.25, 4 Tb 3.35
3 Nd 0.2500 0.2500 0.3524  5 In 3.23-3.43
4 Nd 0.7500 0.7500 0.6476  5 In 3.23-3.43
5 In 0.2500 0.2500 0.7361  5 Nd 3.23-3.43, 4 Tb 3.25
6 In 0.7500 0.7500 0.2639  5 Nd 3.23-3.43, 4 Tb 3.25

Record 9
Tb12Nd6In after structural relaxation, computed with PBE-GGA.

Calculated values
Energy, eV/atom: -4.510
Calculated formation energy, eV per atom: 0.064
Symmetry: R-3

a b c (Å): 8.5528 8.5528 8.5528
angles (deg): 89.04 89.04 89.04
With the nearest neighbours (Å) after each atom.
Atoms (fractional coordinates):
1 Tb 0.0384 0.2782 0.9354  6 Tb 3.29-3.66, 3 Nd 3.35-3.45
2 Tb 0.0646 0.9616 0.7218  6 Tb 3.29-3.66, 3 Nd 3.35-3.45
3 Tb 0.1418 0.3133 0.4862  4 Nd 3.42-3.68, 1 In 3.48, 4 Tb 3.49-3.66
4 Tb 0.2782 0.9354 0.0384  6 Tb 3.29-3.66, 3 Nd 3.35-3.45
5 Tb 0.3133 0.4862 0.1418  4 Nd 3.42-3.68, 1 In 3.48, 4 Tb 3.49-3.66
6 Tb 0.4862 0.1418 0.3133  4 Nd 3.42-3.68, 1 In 3.48, 4 Tb 3.49-3.66
7 Tb 0.5138 0.8582 0.6867  4 Nd 3.42-3.68, 1 In 3.48, 4 Tb 3.49-3.66
8 Tb 0.6867 0.5138 0.8582  4 Nd 3.42-3.68, 1 In 3.48, 4 Tb 3.49-3.66
9 Tb 0.7218 0.0646 0.9616  6 Tb 3.29-3.66, 3 Nd 3.35-3.45
10 Tb 0.8582 0.6867 0.5138  4 Nd 3.42-3.68, 1 In 3.48, 4 Tb 3.49-3.66
11 Tb 0.9354 0.0384 0.2782  6 Tb 3.29-3.66, 3 Nd 3.35-3.45
12 Tb 0.9616 0.7218 0.0646  6 Tb 3.29-3.66, 3 Nd 3.35-3.45
13 Nd 0.1972 0.5927 0.7600  7 Tb 3.35-3.68, 1 In 3.48, 2 Nd 3.50
14 Nd 0.2400 0.8028 0.4073  7 Tb 3.35-3.68, 1 In 3.48, 2 Nd 3.50
15 Nd 0.4073 0.2400 0.8028  7 Tb 3.35-3.68, 1 In 3.48, 2 Nd 3.50
16 Nd 0.5927 0.7600 0.1972  7 Tb 3.35-3.68, 1 In 3.48, 2 Nd 3.50
17 Nd 0.7600 0.1972 0.5927  7 Tb 3.35-3.68, 1 In 3.48, 2 Nd 3.50
18 Nd 0.8028 0.4073 0.2400  7 Tb 3.35-3.68, 1 In 3.48, 2 Nd 3.50
19 In 0.5000 0.5000 0.5000  6 Nd 3.48, 6 Tb 3.48

Record 10
TbNdIn2 after structural relaxation, computed with PBE-GGA.

Calculated values
Energy, eV/atom: -4.035
Calculated formation energy, eV per atom: -0.317
Symmetry: R-3m

a b c (Å): 3.7753 3.7753 29.3742
angles (deg): 90.00 90.00 120.00
With the nearest neighbours (Å) after each atom.
Atoms (fractional coordinates):
1 Tb 0.0000 0.0000 0.0000  6 In 3.23
2 Tb 0.3333 0.6667 0.6667  6 In 3.23
3 Tb 0.6667 0.3333 0.3333  6 In 3.23
4 Nd 0.0000 0.0000 0.5000  6 In 3.32
5 Nd 0.3333 0.6667 0.1667  6 In 3.32
6 Nd 0.6667 0.3333 0.8333  6 In 3.32
7 In 0.0000 0.0000 0.2520  3 Tb 3.23, 3 Nd 3.32
8 In 0.0000 0.0000 0.7480  3 Tb 3.23, 3 Nd 3.32
9 In 0.3333 0.6667 0.4147  3 Tb 3.23, 3 Nd 3.32
10 In 0.3333 0.6667 0.9186  3 Tb 3.23, 3 Nd 3.32
11 In 0.6667 0.3333 0.0814  3 Tb 3.23, 3 Nd 3.32
12 In 0.6667 0.3333 0.5853  3 Tb 3.23, 3 Nd 3.32

Record 11
Tb8Nd2In after structural relaxation, computed with PBE-GGA.

Calculated values
Energy relative to the lowest polymorph listed for this composition, meV/atom: 0.0
Energy, eV/atom: -4.545
Calculated formation energy, eV per atom: -0.062
Symmetry: C2/m

a b c (Å): 9.4016 9.4016 7.9383
angles (deg): 104.75 104.75 30.73
With the nearest neighbours (Å) after each atom.
Atoms (fractional coordinates):
1 Tb 0.0440 0.0440 0.2253  9 Tb 3.48-3.59, 1 Nd 3.49, 2 In 3.54
2 Tb 0.1339 0.1339 0.6747  2 In 3.50, 7 Tb 3.50-3.62, 3 Nd 3.59-3.63
3 Tb 0.3204 0.3204 0.5910  8 Tb 3.50-3.63, 1 In 3.52, 3 Nd 3.52-3.58
4 Tb 0.4112 0.4112 0.0572  1 In 3.46, 8 Tb 3.48-3.63, 3 Nd 3.53-3.64
5 Tb 0.5888 0.5888 0.9428  1 In 3.46, 8 Tb 3.48-3.63, 3 Nd 3.53-3.64
6 Tb 0.6796 0.6796 0.4090  8 Tb 3.50-3.63, 1 In 3.52, 3 Nd 3.52-3.58
7 Tb 0.8661 0.8661 0.3253  2 In 3.50, 7 Tb 3.50-3.62, 3 Nd 3.59-3.63
8 Tb 0.9560 0.9560 0.7747  9 Tb 3.48-3.59, 1 Nd 3.49, 2 In 3.54
9 Nd 0.2224 0.2224 0.1357  10 Tb 3.49-3.64, 2 Nd 3.60
10 Nd 0.7776 0.7776 0.8643  10 Tb 3.49-3.64, 2 Nd 3.60
11 In 0.5000 0.5000 0.5000  12 Tb 3.46-3.54

Record 12
TbNdIn after structural relaxation, computed with PBE-GGA.

Calculated values
Energy relative to the lowest polymorph listed for this composition, meV/atom: 50.1
Energy, eV/atom: -4.292
Calculated formation energy, eV per atom: -0.247
Symmetry: P4/nmm

a b c (Å): 4.6678 4.6678 8.5373
angles (deg): 90.00 90.00 90.00
With the nearest neighbours (Å) after each atom.
Atoms (fractional coordinates):
1 Tb 0.2500 0.2500 0.1421  5 In 3.12-3.37
2 Tb 0.7500 0.7500 0.8579  5 In 3.12-3.37
3 Nd 0.2500 0.7500 0.5000  4 Nd 3.30, 4 In 3.32
4 Nd 0.7500 0.2500 0.5000  4 Nd 3.30, 4 In 3.32
5 In 0.2500 0.2500 0.7770  5 Tb 3.12-3.37, 4 Nd 3.32
6 In 0.7500 0.7500 0.2230  5 Tb 3.12-3.37, 4 Nd 3.32